Record 1
A geometry-optimized MnBiSe2 structure. Source: the Alexandria database, functional PBEsol.

## Properties
**Raw total energy**: -5.5204 eV/atom
**Energy relative to the elements, uncorrected**: -0.08 eV/atom
**Density of states at the Fermi level**: 5.6 states/eV per cell
**Space group**: No. 122

a b c (Å): 7.2669 7.2669 6.9930
angles (deg): 90.00 90.00 90.00
Sites, in units of the cell vectors:
Mn: 0.0000 0.0000 0.0000
Mn: 0.0000 0.5000 0.2500
Mn: 0.5000 0.0000 0.7500
Mn: 0.5000 0.5000 0.5000
Bi: 0.0000 0.0000 0.5000
Bi: 0.0000 0.5000 0.7500
Bi: 0.5000 0.0000 0.2500
Bi: 0.5000 0.5000 0.0000
Se: 0.1993 0.2500 0.1250
Se: 0.2500 0.6993 0.3750
Se: 0.2500 0.8007 0.8750
Se: 0.3007 0.2500 0.6250
Se: 0.6993 0.7500 0.6250
Se: 0.7500 0.1993 0.8750
Se: 0.7500 0.3007 0.3750
Se: 0.8007 0.7500 0.1250

Record 2
A geometry-optimized Zr2Tl structure. Source: the Alexandria database, functional PBEsol.

## Properties
**Raw total energy**: -7.0876 eV/atom
**Formation energy from the elements**: -0.151 eV per atom
**Density of states at the Fermi level**: 14.1 states/eV per cell
**Space group**: No. 62

a b c (Å): 6.1222 4.6296 9.2882
angles (deg): 90.00 90.00 90.00
Sites, in units of the cell vectors:
Zr: 0.1006 0.2500 0.2209
Zr: 0.1413 0.2500 0.5609
Zr: 0.3587 0.7500 0.0609
Zr: 0.3994 0.7500 0.7209
Zr: 0.6006 0.2500 0.2791
Zr: 0.6413 0.2500 0.9391
Zr: 0.8587 0.7500 0.4391
Zr: 0.8994 0.7500 0.7791
Tl: 0.1587 0.2500 0.8883
Tl: 0.3413 0.7500 0.3883
Tl: 0.6587 0.2500 0.6117
Tl: 0.8413 0.7500 0.1117

Record 3
A geometry-optimized Ba3TiBe structure. Source: the Alexandria database, functional PBEsol.

## Properties
**Raw total energy**: -2.6631 eV/atom
**Formation energy from the elements**: 1.091 eV per atom
**Density of states at the Fermi level**: 5.4 states/eV per cell
**Space group**: No. 221

a b c (Å): 5.9179 5.9179 5.9179
angles (deg): 90.00 90.00 90.00
Sites, in units of the cell vectors:
Ba: 0.0000 0.0000 0.5000
Ba: 0.0000 0.5000 0.0000
Ba: 0.5000 0.0000 0.0000
Ti: 0.0000 0.0000 0.0000
Be: 0.5000 0.5000 0.5000

Record 4
A geometry-optimized ZnCr2Hg structure. Source: the Alexandria database, functional PBEsol.

## Properties
**Raw total energy**: -5.2097 eV/atom
**Energy relative to the lowest polymorph listed for this composition**: 0.80 eV/f.u.
**Formation energy from the elements**: 0.448 eV per atom
**Density of states at the Fermi level**: 3.4 states/eV per cell
**Space group**: No. 47

a b c (Å): 2.7456 4.0080 5.1976
angles (deg): 90.00 90.00 90.00
Sites, in units of the cell vectors:
Zn: 0.0000 0.0000 0.0000
Cr: 0.5000 0.5000 0.1921
Cr: 0.5000 0.5000 0.8079
Hg: 0.0000 0.0000 0.5000

Record 5
A geometry-optimized Ta2ZnCu structure. Source: the Alexandria database, functional PBEsol.

## Properties
**Raw total energy**: -7.6881 eV/atom
**Formation energy from the elements**: 0.066 eV per atom
**Density of states at the Fermi level**: 6.6 states/eV per cell
**Space group**: No. 65

a b c (Å): 5.5810 7.6533 2.8150
angles (deg): 90.00 90.00 90.00
Sites, in units of the cell vectors:
Ta: 0.2500 0.2500 0.0000
Ta: 0.2500 0.7500 0.0000
Ta: 0.7500 0.2500 0.0000
Ta: 0.7500 0.7500 0.0000
Zn: 0.0000 0.0000 0.5000
Zn: 0.5000 0.5000 0.5000
Cu: 0.0000 0.5000 0.5000
Cu: 0.5000 0.0000 0.5000

Record 6
A geometry-optimized Sc3Sb structure. Source: the Alexandria database, functional PBEsol.

## Properties
**Raw total energy**: -6.6458 eV/atom
**Energy relative to the lowest polymorph listed for this composition**: 0.01 eV/f.u.
**Energy relative to the elements, uncorrected**: -0.55 eV/atom
**Density of states at the Fermi level**: 12.1 states/eV per cell
**Space group**: No. 194

a b c (Å): 6.3143 6.3143 4.9925
angles (deg): 90.00 90.00 120.00
Sites, in units of the cell vectors:
Sc: 0.1678 0.3357 0.2500
Sc: 0.1678 0.8322 0.2500
Sc: 0.3357 0.1678 0.7500
Sc: 0.6643 0.8322 0.2500
Sc: 0.8322 0.1678 0.7500
Sc: 0.8322 0.6643 0.7500
Sb: 0.3333 0.6667 0.7500
Sb: 0.6667 0.3333 0.2500